A relaxed structure of KCaMgIn, computed with PBE.

Calculated values
Symmetry: F-43m, No. 216
Calculated density: 3.07 g/cm3
Spin magnetization: 0.00 μB per formula unit
Raw total energy: -1.9173 eV per atom
Energy of formation from the pure elements: -59 meV per atom

Lattice parameters (Å, degrees): 5.5046 5.5046 5.5046 60.00 60.00 60.00
Positions (direct):
Mg 0.0000 0.0000 0.0000
Ca 0.5000 0.5000 0.5000
K 0.2500 0.2500 0.2500
In 0.7500 0.7500 0.7500